Record 1
VASP calculation (GGA-PBE) on an optimized crystal structure of DySbRh.

a = 3.827 Å, b = 3.827 Å, c = 5.340 Å
α = 111.00°, β = 111.00°, γ = 90.00°
Fractional coordinates of all 3 atoms:
Sb: 0.277 0.277 0.554
Rh: 0.975 0.975 0.950
Dy: 0.598 0.598 0.196

* E_form (uncorrected): -552 meV/atom
* calculated total energy: -17.73 eV/f.u.
* size of the total moment: 0.0000 μB/atom

Record 2
VASP calculation (GGA-PBE) on an optimized crystal structure of SrSm2Si6.

a = 4.204 Å, b = 7.174 Å, c = 7.174 Å
α = 120.00°, β = 90.00°, γ = 90.00°
Fractional coordinates of all 9 atoms:
Sr: 0.000 0.000 0.000
Sm: 0.000 0.333 0.667
Sm: 0.000 0.667 0.333
Si: 0.500 0.337 0.337
Si: 0.500 0.663 0.663
Si: 0.500 0.000 0.663
Si: 0.500 0.663 0.000
Si: 0.500 0.337 0.000
Si: 0.500 0.000 0.337

* E_form (uncorrected): -462 meV/atom
* calculated total energy: -47.82 eV/f.u.
* size of the total moment: 0.0000 μB/atom

Record 3
VASP calculation (GGA-PBE) on an optimized crystal structure of CeUFe2P2.

a = 3.882 Å, b = 3.882 Å, c = 7.554 Å
α = 90.00°, β = 90.00°, γ = 120.00°
Fractional coordinates of all 6 atoms:
Ce: 0.000 0.000 0.000
U: 0.000 0.000 0.500
Fe: 0.333 0.667 0.706
Fe: 0.667 0.333 0.294
P: 0.333 0.667 0.244
P: 0.667 0.333 0.756

* ΔH_f (0 K): -875.9 meV/atom
* calculated total energy: -50.22 eV/f.u.
* size of the total moment: 0.0010 μB/atom

Record 4
VASP calculation (GGA-PBE) on an optimized crystal structure of Y2TlS.

a = 3.814 Å, b = 3.814 Å, c = 8.413 Å
α = 76.90°, β = 76.90°, γ = 60.00°
Fractional coordinates of all 4 atoms:
Y: 0.065 0.065 0.804
Y: 0.267 0.267 0.198
Tl: 0.500 0.500 0.501
S: 0.667 0.667 0.998

* E_form (uncorrected): -1168 meV/atom
* energy above the lowest structure with this stoichiometry: 0.14 eV/f.u.
* calculated total energy: -24.10 eV/f.u.
* size of the total moment: 0.0000 μB/atom

Record 5
VASP calculation (GGA-PBE) on an optimized crystal structure of Sr3MgIn12.

a = 4.853 Å, b = 4.853 Å, c = 18.914 Å
α = 90.00°, β = 90.00°, γ = 90.00°
Fractional coordinates of all 16 atoms:
Sr: 0.000 0.000 0.241
Sr: 0.000 0.000 0.500
Sr: 0.000 0.000 0.759
Mg: 0.000 0.000 0.000
In: 0.500 0.500 0.000
In: 0.500 0.500 0.251
In: 0.500 0.500 0.500
In: 0.500 0.500 0.749
In: 0.500 0.000 0.112
In: 0.500 0.000 0.371
In: 0.500 0.000 0.629
In: 0.500 0.000 0.888
In: 0.000 0.500 0.112
In: 0.000 0.500 0.371
In: 0.000 0.500 0.629
In: 0.000 0.500 0.888

* ΔH_f (0 K): -239.1 meV/atom
* calculated total energy: -43.33 eV/f.u.
* size of the total moment: 0.0000 μB/atom

Record 6
VASP calculation (GGA-PBE) on an optimized crystal structure of PuH5Os.

a = 4.512 Å, b = 4.512 Å, c = 7.474 Å
α = 65.54°, β = 65.54°, γ = 64.51°
Each line ends with the local moment (μB).
Fractional coordinates of all 14 atoms:
Pu: 0.500 0.500 0.750  4.89
Pu: 0.500 0.500 0.250  4.89
H: 0.437 0.907 0.914  -0.02
H: 0.437 0.907 0.414  -0.02
H: 0.907 0.437 0.414  -0.02
H: 0.000 0.000 0.750  0.00
H: 0.093 0.563 0.086  -0.02
H: 0.907 0.437 0.914  -0.02
H: 0.000 0.000 0.250  0.00
H: 0.093 0.563 0.586  -0.02
H: 0.563 0.093 0.586  -0.02
H: 0.563 0.093 0.086  -0.02
Os: 0.000 0.000 0.000  -0.24
Os: 0.000 0.000 0.500  -0.24

* calculated total energy: -43.59 eV/f.u.
* size of the total moment: 0.6670 μB/atom

Record 7
VASP calculation (GGA-PBE) on an optimized crystal structure of BaYRhO6.

a = 5.619 Å, b = 5.619 Å, c = 5.649 Å
α = 90.00°, β = 90.00°, γ = 59.99°
Each line ends with the local moment (μB).
Fractional coordinates of all 9 atoms:
Ba: 0.000 0.000 0.000  0.02
Y: 0.667 0.667 0.500  0.03
Rh: 0.333 0.333 0.500  0.90
O: 0.041 0.353 0.302  0.13
O: 0.353 0.041 0.698  0.13
O: 0.606 0.353 0.698  0.13
O: 0.041 0.606 0.698  0.13
O: 0.353 0.606 0.302  0.13
O: 0.606 0.041 0.302  0.13

* E_form (uncorrected): -1678 meV/atom
* calculated total energy: -60.59 eV/f.u.
* size of the total moment: 0.2184 μB/atom

Record 8
VASP calculation (GGA-PBE) on an optimized crystal structure of Cs2KIn2.

a = 9.088 Å, b = 9.088 Å, c = 9.088 Å
α = 141.59°, β = 141.59°, γ = 55.45°
Fractional coordinates of all 5 atoms:
Cs: 0.750 0.250 0.500
Cs: 0.250 0.750 0.500
K: 0.000 0.000 0.000
In: 0.587 0.587 0.000
In: 0.413 0.413 0.000

* ΔH_f (0 K): 84.5 meV/atom
* energy above the lowest structure with this stoichiometry: 0.48 eV/f.u.
* calculated total energy: -7.86 eV/f.u.
* size of the total moment: 0.0004 μB/atom

Record 9
VASP calculation (GGA-PBE) on an optimized crystal structure of NaAlPbF6.

a = 5.557 Å, b = 5.557 Å, c = 9.976 Å
α = 90.00°, β = 90.00°, γ = 120.00°
Fractional coordinates of all 18 atoms:
Na: 0.333 0.667 0.250
Na: 0.667 0.333 0.750
Al: 0.667 0.333 0.250
Al: 0.333 0.667 0.750
Pb: 0.000 0.000 0.000
Pb: 0.000 0.000 0.500
F: 0.665 0.605 0.145
F: 0.940 0.335 0.145
F: 0.335 0.940 0.645
F: 0.060 0.665 0.855
F: 0.395 0.335 0.355
F: 0.940 0.605 0.355
F: 0.605 0.940 0.855
F: 0.665 0.060 0.355
F: 0.060 0.395 0.645
F: 0.395 0.060 0.145
F: 0.605 0.665 0.645
F: 0.335 0.395 0.855

* E_form (uncorrected): -3028 meV/atom
* calculated total energy: -47.25 eV/f.u.
* size of the total moment: 0.0000 μB/atom

Record 10
VASP calculation (GGA-PBE) on an optimized crystal structure of GaTe2N2.

a = 5.820 Å, b = 5.820 Å, c = 3.461 Å
α = 90.00°, β = 90.00°, γ = 90.00°
Each line ends with the local moment (μB).
Fractional coordinates of all 5 atoms:
Te: 0.000 0.500 0.000  -0.13
Te: 0.500 0.000 0.000  -0.13
Ga: 0.000 0.000 0.000  0.00
N: 0.500 0.500 0.500  1.60
N: 0.000 0.000 0.500  -0.04

* E_form (uncorrected): 1655 meV/atom
* energy above the lowest structure with this stoichiometry: 2.02 eV/f.u.
* calculated total energy: -17.69 eV/f.u.
* size of the total moment: 0.3698 μB/atom

Record 11
VASP calculation (GGA-PBE) on an optimized crystal structure of Cu2Ru2I.

a = 6.879 Å, b = 6.879 Å, c = 3.303 Å
α = 90.00°, β = 90.00°, γ = 90.00°
Fractional coordinates of all 10 atoms:
I: 0.000 0.000 0.000
I: 0.500 0.500 0.000
Ru: 0.158 0.658 0.500
Ru: 0.658 0.842 0.500
Ru: 0.842 0.342 0.500
Ru: 0.342 0.158 0.500
Cu: 0.370 0.870 0.000
Cu: 0.870 0.630 0.000
Cu: 0.630 0.130 0.000
Cu: 0.130 0.370 0.000

* E_form (uncorrected): 887 meV/atom
* energy above the lowest structure with this stoichiometry: 0.67 eV/f.u.
* calculated total energy: -23.86 eV/f.u.
* size of the total moment: 0.0000 μB/atom

Record 12
VASP calculation (GGA-PBE) on an optimized crystal structure of MnTlVI6.

a = 7.359 Å, b = 7.359 Å, c = 7.667 Å
α = 90.00°, β = 90.00°, γ = 60.00°
Each line ends with the local moment (μB).
Fractional coordinates of all 9 atoms:
Mn: 0.333 0.333 0.500  4.26
Tl: 0.000 0.000 0.000  0.01
V: 0.667 0.667 0.500  2.07
I: 0.991 0.374 0.290  0.00
I: 0.374 0.991 0.710  0.00
I: 0.635 0.374 0.710  0.00
I: 0.991 0.635 0.710  0.00
I: 0.374 0.635 0.290  0.00
I: 0.635 0.991 0.290  0.00

* E_form (uncorrected): -470 meV/atom
* calculated total energy: -34.19 eV/f.u.
* size of the total moment: 0.7778 μB/atom

Record 13
VASP calculation (GGA-PBE) on an optimized crystal structure of RbAlTlPb2.

a = 5.658 Å, b = 5.734 Å, c = 5.658 Å
α = 90.00°, β = 90.00°, γ = 90.00°
Fractional coordinates of all 5 atoms:
Pb: 0.000 0.000 0.500
Pb: 0.500 0.000 0.000
Tl: 0.000 0.500 0.000
Al: 0.000 0.000 0.000
Rb: 0.500 0.500 0.500

* ΔH_f (0 K): 133.3 meV/atom
* calculated total energy: -13.83 eV/f.u.
* size of the total moment: 0.0000 μB/atom

Record 14
VASP calculation (GGA-PBE) on an optimized crystal structure of SmDy2Er2.

a = 9.302 Å, b = 9.302 Å, c = 3.707 Å
α = 90.00°, β = 90.00°, γ = 90.00°
Fractional coordinates of all 10 atoms:
Sm: 0.000 0.000 0.000
Sm: 0.500 0.500 0.000
Dy: 0.126 0.626 0.000
Dy: 0.626 0.874 0.000
Dy: 0.874 0.374 0.000
Dy: 0.374 0.126 0.000
Er: 0.329 0.829 0.500
Er: 0.829 0.671 0.500
Er: 0.671 0.171 0.500
Er: 0.171 0.329 0.500

* ΔH_f (0 K): 85.3 meV/atom
* energy above the lowest structure with this stoichiometry: 0.00 eV/f.u.
* calculated total energy: -22.62 eV/f.u.
* size of the total moment: 0.0000 μB/atom

Record 15
VASP calculation (GGA-PBE) on an optimized crystal structure of RbBaVIn2.

a = 5.494 Å, b = 5.494 Å, c = 5.855 Å
α = 90.00°, β = 90.00°, γ = 90.00°
Each line ends with the local moment (μB).
Fractional coordinates of all 5 atoms:
V: 0.000 0.000 0.000  2.56
Ba: 0.500 0.500 0.500  -0.10
Rb: 0.000 0.000 0.500  0.03
In: 0.000 0.500 0.000  -0.02
In: 0.500 0.000 0.000  -0.02

* ΔH_f (0 K): 337.0 meV/atom
* calculated total energy: -15.80 eV/f.u.
* size of the total moment: 0.4938 μB/atom

Record 16
VASP calculation (GGA-PBE) on an optimized crystal structure of Ca4HoPa3P8.

a = 8.113 Å, b = 8.108 Å, c = 8.113 Å
α = 120.02°, β = 120.00°, γ = 90.00°
Fractional coordinates of all 16 atoms:
Ca: 0.500 0.000 0.000
Ca: 0.500 0.000 0.500
Ca: 0.000 0.000 0.000
Ca: 0.000 0.000 0.500
Ho: 0.000 0.500 0.000
Pa: 0.500 0.500 0.000
Pa: 0.500 0.500 0.500
Pa: 0.000 0.500 0.500
P: 0.246 0.730 0.984
P: 0.246 0.730 0.493
P: 0.256 0.269 0.513
P: 0.737 0.730 0.984
P: 0.263 0.270 0.016
P: 0.744 0.731 0.487
P: 0.754 0.270 0.507
P: 0.754 0.270 0.016

* ΔH_f (0 K): -1299.5 meV/atom
* calculated total energy: -105.14 eV/f.u.
* size of the total moment: 0.0001 μB/atom

Record 17
VASP calculation (GGA-PBE) on an optimized crystal structure of CsRbSnAs2.

a = 6.030 Å, b = 6.137 Å, c = 6.030 Å
α = 90.00°, β = 90.00°, γ = 90.00°
Fractional coordinates of all 5 atoms:
Cs: 0.000 0.000 0.000
As: 0.000 0.000 0.500
As: 0.500 0.000 0.000
Sn: 0.500 0.500 0.500
Rb: 0.000 0.500 0.000

* ΔH_f (0 K): 999.3 meV/atom
* calculated total energy: -10.13 eV/f.u.
* size of the total moment: 0.0001 μB/atom

Record 18
VASP calculation (GGA-PBE) on an optimized crystal structure of MgCd2TcAs.

a = 5.203 Å, b = 4.858 Å, c = 5.203 Å
α = 90.00°, β = 90.00°, γ = 90.00°
Each line ends with the local moment (μB).
Fractional coordinates of all 5 atoms:
Mg: 0.000 0.500 0.000  -0.02
As: 0.000 0.000 0.000  0.04
Tc: 0.500 0.500 0.500  3.22
Cd: 0.000 0.000 0.500  -0.01
Cd: 0.500 0.000 0.000  -0.03

* ΔH_f (0 K): 989.7 meV/atom
* calculated total energy: -13.49 eV/f.u.
* size of the total moment: 0.7075 μB/atom

Record 19
VASP calculation (GGA-PBE) on an optimized crystal structure of Pu2PS.

a = 3.928 Å, b = 3.928 Å, c = 7.259 Å
α = 74.30°, β = 74.30°, γ = 60.00°
Each line ends with the local moment (μB).
Fractional coordinates of all 4 atoms:
Pu: 0.080 0.080 0.759  5.22
Pu: 0.253 0.253 0.240  5.31
P: 0.669 0.669 0.993  -0.16
S: 0.498 0.498 0.507  -0.13

* E_form (uncorrected): -1364 meV/atom
* energy above the lowest structure with this stoichiometry: 0.46 eV/f.u.
* calculated total energy: -43.66 eV/f.u.
* size of the total moment: 2.7442 μB/atom

Record 20
VASP calculation (GGA-PBE) on an optimized crystal structure of KNaSCl2.

a = 5.426 Å, b = 5.225 Å, c = 5.426 Å
α = 90.00°, β = 90.00°, γ = 90.00°
Each line ends with the local moment (μB).
Fractional coordinates of all 5 atoms:
Na: 0.000 0.000 0.000  0.00
K: 0.500 0.500 0.500  0.00
S: 0.000 0.500 0.000  0.92
Cl: 0.000 0.000 0.500  0.17
Cl: 0.500 0.000 0.000  0.17

* E_form (uncorrected): -792 meV/atom
* energy above the lowest structure with this stoichiometry: 0.00 eV/f.u.
* calculated total energy: -14.20 eV/f.u.
* size of the total moment: 0.4000 μB/atom